Record 1
{"formula": "NdDy4Ag", "functional": "GGA-PBE", "state": "optimized geometry", "cell": [[5.420, 0.000, 0.000], [0.000, 6.504, 0.000], [-2.710, 0.000, 10.564]], "species": ["Nd", "Dy", "Ag", "Ag", "Dy", "Dy", "Dy", "Dy", "Dy", "Dy", "Dy", "Nd"], "frac_coords": [[0.136, 0.221, 0.271], [0.466, 0.870, 0.932], [0.602, 0.965, 0.204], [0.398, 0.465, 0.796], [0.933, 0.211, 0.865], [0.259, 0.590, 0.517], [0.067, 0.711, 0.135], [0.326, 0.076, 0.651], [0.741, 0.090, 0.483], [0.674, 0.576, 0.349], [0.534, 0.370, 0.068], [0.864, 0.721, 0.729]], "space_group": "Cmc2_1 (36)", "density_g_cm3": 8.05, "de_polymorph_mev_per_atom": 133, "formation_enthalpy_0k_ev_per_fu": 0.33}

=====

Record 2
{"formula": "CsTl2PbBr5", "functional": "GGA-PBE", "state": "optimized geometry", "cell": [[-2.793, 4.780, -1.836], [-0.379, -3.122, -7.551], [-5.522, -4.295, 6.483]], "species": ["Br", "Br", "Tl", "Pb", "Br", "Br", "Tl", "Br", "Cs"], "frac_coords": [[0.637, 0.389, 0.274], [0.637, 0.885, 0.274], [0.211, 0.211, 0.421], [0.500, 0.000, 0.000], [0.000, 0.000, 0.000], [0.363, 0.611, 0.726], [0.789, 0.789, 0.579], [0.363, 0.115, 0.726], [0.000, 0.500, 0.000]], "space_group": "Immm (71)", "density_g_cm3": 4.93, "formation_energy_uncorrected_ev_per_fu": -9.61}

=====

Record 3
{"formula": "Ac3Tb2Y4", "functional": "GGA-PBE", "state": "optimized geometry", "cell": [[6.325, 0.148, 0.881], [2.971, 5.621, 0.876], [-1.004, -0.749, 9.029]], "species": ["Ac", "Tb", "Y", "Ac", "Y", "Y", "Y", "Ac", "Tb"], "frac_coords": [[0.666, 0.001, 0.666], [0.338, 0.658, 0.666], [0.005, 0.657, 0.333], [0.334, 0.999, 0.334], [0.329, 0.343, 0.000], [0.671, 0.657, 0.000], [0.995, 0.343, 0.667], [0.000, 0.000, 0.000], [0.662, 0.342, 0.334]], "space_group": "P-1 (2)", "density_g_cm3": 6.94, "formation_enthalpy_0k_ev_per_fu": 0.43}

=====

Record 4
{"formula": "SrInAu5", "functional": "GGA-PBE", "state": "optimized geometry", "cell": [[-0.565, 1.042, -5.688], [6.401, -6.306, -1.791], [-8.132, -8.065, -0.670]], "species": ["Au", "Au", "Sr", "Sr", "Au", "In", "Au", "Au", "Au", "Au", "Au", "Sr", "In", "Au", "Au", "Au", "Au", "Au", "Au", "Au", "Au", "In", "Au", "Sr", "Au", "Au", "In", "Au"], "frac_coords": [[0.750, 0.404, 0.979], [0.750, 0.322, 0.731], [0.750, 0.755, 0.056], [0.250, 0.245, 0.944], [0.010, 0.067, 0.696], [0.250, 0.852, 0.851], [0.490, 0.567, 0.804], [0.750, 0.904, 0.521], [0.750, 0.576, 0.582], [0.510, 0.433, 0.196], [0.250, 0.596, 0.021], [0.250, 0.745, 0.556], [0.750, 0.648, 0.351], [0.510, 0.933, 0.304], [0.250, 0.096, 0.479], [0.990, 0.933, 0.304], [0.250, 0.924, 0.082], [0.750, 0.076, 0.918], [0.750, 0.822, 0.769], [0.990, 0.433, 0.196], [0.250, 0.178, 0.231], [0.750, 0.148, 0.149], [0.250, 0.678, 0.269], [0.750, 0.255, 0.444], [0.250, 0.424, 0.418], [0.490, 0.067, 0.696], [0.250, 0.352, 0.649], [0.010, 0.567, 0.804]], "space_group": "Pnma (62)", "density_g_cm3": 12.91, "de_polymorph_mev_per_atom": 18, "formation_enthalpy_0k_ev_per_fu": -2.98}

=====

Record 5
{"formula": "LiPdW3", "functional": "GGA-PBE", "state": "optimized geometry", "cell": [[4.773, 0.000, 0.000], [0.000, 4.773, 0.000], [0.000, 0.000, 4.773]], "species": ["Li", "W", "Pd", "W", "W"], "frac_coords": [[0.500, 0.500, 0.500], [0.500, 0.000, 0.000], [0.000, 0.000, 0.000], [0.000, 0.500, 0.000], [0.000, 0.000, 0.500]], "space_group": "Pm-3m (221)", "density_g_cm3": 10.15, "de_polymorph_mev_per_atom": 981, "formation_enthalpy_0k_ev_per_fu": 11.56}

=====

Record 6
{"formula": "Y3SiCl3", "functional": "GGA-PBE", "state": "optimized geometry", "cell": [[9.230, 0.000, -3.263], [-4.615, 7.994, -3.263], [0.000, 0.000, 9.790]], "species": ["Y", "Y", "Cl", "Si", "Cl", "Cl", "Cl", "Y", "Y", "Y", "Cl", "Y", "Cl", "Cl", "Cl", "Cl", "Y", "Y", "Cl", "Y", "Si", "Y", "Si", "Y", "Si", "Cl", "Y", "Cl"], "frac_coords": [[0.250, 0.008, 0.492], [0.742, 0.484, 0.492], [0.003, 0.250, 0.997], [0.750, 0.250, 0.250], [0.253, 0.747, 0.250], [0.247, 0.997, 0.995], [0.003, 0.753, 0.505], [0.758, 0.008, 0.016], [0.508, 0.016, 0.258], [0.992, 0.242, 0.484], [0.495, 0.747, 0.997], [0.516, 0.258, 0.008], [0.247, 0.250, 0.753], [0.253, 0.505, 0.503], [0.497, 0.503, 0.250], [0.005, 0.503, 0.753], [0.992, 0.750, 0.008], [0.984, 0.492, 0.242], [0.750, 0.753, 0.747], [0.742, 0.258, 0.750], [0.750, 0.500, 0.000], [0.250, 0.242, 0.258], [0.000, 0.000, 0.250], [0.758, 0.750, 0.242], [0.500, 0.250, 0.500], [0.750, 0.997, 0.503], [0.508, 0.492, 0.750], [0.497, 0.995, 0.747]], "space_group": "I4_132 (214)", "density_g_cm3": 3.69, "formation_energy_uncorrected_ev_per_fu": -11.13}